Entry from the Alexandria database: crystalline La4PrNdDy2 at its relaxed geometry (GGA-PBE).

a b c (Å): 3.6932 12.0948 6.3911
angles (deg): 79.81 90.00 90.00
Closest atoms and distances in Å follow each position.
Fractional coordinates of all 8 atoms:
La 0.5000 0.2455 0.7501  3 Dy 3.61-3.62, 6 La 3.69, 2 Nd 3.70, 1 Pr 3.71
La 0.5000 0.7545 0.2499  3 Dy 3.61-3.62, 6 La 3.69, 2 Nd 3.70, 1 Pr 3.71
La 0.0000 0.7548 0.7492  3 Dy 3.61, 6 La 3.69, 2 Pr 3.71, 1 Nd 3.71
La 0.0000 0.2452 0.2508  3 Dy 3.61, 6 La 3.69, 2 Pr 3.71, 1 Nd 3.71
Pr 0.5000 0.5000 0.0000  4 Nd 3.69, 2 Pr 3.69, 6 La 3.71
Dy 0.5000 0.0000 0.5000  6 La 3.61, 6 Dy 3.69
Dy 0.0000 0.0000 0.0000  6 La 3.61-3.62, 6 Dy 3.69
Nd 0.0000 0.5000 0.5000  4 Pr 3.69, 2 Nd 3.69, 6 La 3.70-3.71

Output
- Calculated formation energy: 13 meV per atom
- Spin magnetization: 0.00 μB/f.u.
- N(E_F): 12.02 states/eV per cell